Entry from the Alexandria database: crystalline Pu2In3Hg2 at its relaxed geometry (PBE).

Energy above the lowest structure with this stoichiometry ... 197 meV per atom
Volume ... 400.7 Å³/cell
DFT formation energy ... 0.084 eV per atom
Magnetization ... 24.1 μB/cell

Lattice parameters (Å, degrees): 8.044 8.044 8.044 109.47 109.47 109.47
Fractional coordinates of all 14 atoms:
Pu (0.000, 0.990, 0.500)
Pu (0.500, 0.000, 0.990)
Pu (0.510, 0.510, 0.510)
Pu (0.990, 0.500, 0.000)
In (0.009, 0.250, 0.259)
In (0.241, 0.491, 0.750)
In (0.250, 0.259, 0.009)
In (0.259, 0.009, 0.250)
In (0.491, 0.750, 0.241)
In (0.750, 0.241, 0.491)
Hg (0.000, 0.621, 0.500)
Hg (0.500, 0.000, 0.621)
Hg (0.621, 0.500, 0.000)
Hg (0.879, 0.879, 0.879)